Entry 1:
The following is a GGA-PBEsol calculation of crystalline Mg2CdAu at its relaxed geometry, from the Alexandria database.

Unit cell a=5.5551 b=5.5551 c=5.5551 alpha=143.53 beta=130.88 gamma=62.70
Last column: nearest neighbours and their distance in Å.
Fractional positions:
Mg 0.0000 0.0000 0.0000  2 Au 2.76, 4 Cd 2.91
Mg 0.7252 0.2252 0.5000  4 Au 2.89, 4 Cd 3.03-3.23, 4 Mg 3.13-3.15
Cd 0.4632 0.4632 0.0000  2 Au 2.84, 6 Mg 2.91-3.03
Au 0.2261 0.7261 0.5000  6 Mg 2.76-2.89, 2 Cd 2.84

Summary:
space group	Imm2 (44)
energy relative to the lowest polymorph listed for this composition	66	meV/atom
ρ	7.806	g/cm3
Fermi-level density of states	1.0	states/eV per cell
uncorrected energy	-9.788	eV/cell
DFT formation energy	-308	meV per atom
total moment	0.00	μB/f.u.

***

Entry 2:
The following is a GGA-PBEsol calculation of crystalline Mg2CdAu at its relaxed geometry, from the Alexandria database.

Unit cell a=4.6184 b=4.6184 c=3.4792 alpha=90.00 beta=90.00 gamma=90.00
Last column: nearest neighbours and their distance in Å.
Fractional positions:
Mg 0.0000 0.5000 0.0000  4 Cd 2.89, 4 Au 2.89
Mg 0.5000 0.0000 0.0000  4 Cd 2.89, 4 Au 2.89
Cd 0.0000 0.0000 0.5000  8 Mg 2.89
Au 0.5000 0.5000 0.5000  8 Mg 2.89

Summary:
space group	P4/mmm (123)
energy relative to the lowest polymorph listed for this composition	19	meV/atom
ρ	8.010	g/cm3
Fermi-level density of states	1.2	states/eV per cell
uncorrected energy	-9.976	eV/cell
DFT formation energy	-355	meV per atom
total moment	0.00	μB/f.u.

***

Entry 3:
The following is a GGA-PBEsol calculation of crystalline Mg2Cd2Au at its relaxed geometry, from the Alexandria database.

Unit cell a=8.0444 b=8.0444 c=8.0444 alpha=152.65 beta=152.65 gamma=39.06
Last column: nearest neighbours and their distance in Å.
Fractional positions:
Mg 0.0914 0.0914 0.0000  1 Mg 2.77, 4 Au 3.03, 4 Cd 3.07
Mg 0.9086 0.9086 0.0000  1 Mg 2.77, 4 Au 3.03, 4 Cd 3.07
Cd 0.2500 0.7500 0.5000  4 Cd 2.69
Cd 0.7500 0.2500 0.5000  4 Cd 2.69
Au 0.5000 0.5000 0.0000  8 Mg 3.03

Summary:
space group	I4/mmm (139)
ρ	7.123	g/cm3
Fermi-level density of states	1.9	states/eV per cell
uncorrected energy	-9.773	eV/cell
DFT formation energy	-4	meV per atom
total moment	0.00	μB/f.u.

***

Entry 4:
The following is a GGA-PBEsol calculation of crystalline MgCdSiAu2 at its relaxed geometry, from the Alexandria database.

Unit cell a=4.8639 b=4.8639 c=4.7862 alpha=90.00 beta=90.00 gamma=90.00
Last column: nearest neighbours and their distance in Å.
Fractional positions:
Mg 0.0000 0.0000 0.0000  2 Si 2.39, 4 Au 2.43
Cd 0.5000 0.5000 0.5000  8 Au 3.41, 4 Si 3.44
Si 0.0000 0.0000 0.5000  2 Mg 2.39
Au 0.0000 0.5000 0.0000  2 Mg 2.43
Au 0.5000 0.0000 0.0000  2 Mg 2.43

Summary:
space group	P4/mmm (123)
ρ	8.194	g/cm3
Fermi-level density of states	2.3	states/eV per cell
uncorrected energy	-12.986	eV/cell
formation energy without anion corrections	704.6	meV/atom
total moment	0.00	μB/f.u.

***

Entry 5:
The following is a GGA-PBEsol calculation of crystalline MnCdAu2 at its relaxed geometry, from the Alexandria database.

Unit cell a=4.9606 b=4.9606 c=4.9606 alpha=131.43 beta=131.43 gamma=71.13
Last column: nearest neighbours and their distance in Å.
Fractional positions:
Mn 0.0000 0.0000 0.0000  8 Au 2.87-2.89, 4 Cd 2.87
Cd 0.2500 0.7500 0.5000  8 Au 2.87-2.89, 4 Mn 2.87
Au 0.5000 0.5000 0.0000  4 Cd 2.87, 4 Au 2.87, 4 Mn 2.89
Au 0.7500 0.2500 0.5000  4 Au 2.87, 4 Mn 2.87, 4 Cd 2.89

Summary:
space group	I-4m2 (119)
ρ	13.874	g/cm3
Fermi-level density of states	1.8	states/eV per cell
uncorrected energy	-18.842	eV/cell
DFT formation energy	-9	meV per atom
total moment	4.09	μB/f.u.

***

Entry 6:
The following is a GGA-PBEsol calculation of crystalline MnCdAu2 at its relaxed geometry, from the Alexandria database.

Unit cell a=2.9715 b=4.6851 c=4.8534 alpha=90.00 beta=90.00 gamma=90.00
Last column: nearest neighbours and their distance in Å.
Fractional positions:
Mn 0.0000 0.0000 0.0000  8 Au 2.80-2.90, 2 Mn 2.97, 2 Cd 2.98
Cd 0.0000 0.5000 0.3795  8 Au 2.82-2.87, 2 Cd 2.97, 2 Mn 2.98
Au 0.5000 0.0000 0.5121  4 Mn 2.80-2.90, 4 Cd 2.85, 4 Au 2.96-2.97
Au 0.5000 0.5000 0.8853  4 Cd 2.82-2.87, 4 Mn 2.83, 4 Au 2.96-2.97

Summary:
space group	Pmm2 (25)
ρ	13.794	g/cm3
Fermi-level density of states	1.8	states/eV per cell
uncorrected energy	-18.772	eV/cell
DFT formation energy	8	meV per atom
total moment	4.04	μB/f.u.